# 1
Computed, not measured: a relaxed GdErRu2 crystal at the PBE level of DFT.

ρ = 11.13 g cm⁻³
Formation enthalpy at 0 K = -0.317 eV/atom

Cell and atoms, written as CIF:
```
data_GdErRu2
_chemical_formula_sum 'Gd1 Er1 Ru2'
_cell_length_a 3.399
_cell_length_b 3.399
_cell_length_c 6.801
_cell_angle_alpha 90.00
_cell_angle_beta 90.00
_cell_angle_gamma 90.00
_symmetry_space_group_name_H-M 'P 4/m m m'
_symmetry_Int_Tables_number 123
_symmetry_space_group_name_Hall '-P 4 2'
loop_
_atom_site_label
_atom_site_type_symbol
_atom_site_fract_x
_atom_site_fract_y
_atom_site_fract_z
Gd1 Gd 0.000 0.000 0.000
Er1 Er 0.000 0.000 0.500
Ru1 Ru 0.500 0.500 0.254
```

***

# 2
Computed, not measured: a relaxed Cr2PdSe2 crystal at the PBE level of DFT.

ρ = 7.32 g cm⁻³
Uncorrected formation energy = 0.06 eV/atom

Cell and atoms, written as CIF:
```
data_Cr2PdSe2
_chemical_formula_sum 'Cr4 Pd2 Se4'
_cell_length_a 3.468
_cell_length_b 3.468
_cell_length_c 13.900
_cell_angle_alpha 90.00
_cell_angle_beta 90.00
_cell_angle_gamma 90.00
_symmetry_space_group_name_H-M 'I 4/m m m'
_symmetry_Int_Tables_number 139
_symmetry_space_group_name_Hall '-I 4 2'
loop_
_atom_site_label
_atom_site_type_symbol
_atom_site_fract_x
_atom_site_fract_y
_atom_site_fract_z
Cr1 Cr 0.000 0.500 0.250
Pd1 Pd 0.000 0.000 0.000
Se1 Se 0.000 0.000 0.376
```

***

no.,ΔE to the lowest computed polymorph (eV/atom),size of the total moment (μB per formula unit)
1,0.0000,6.9
2,0.1033,0.6